i) Density functional theory data (GGA-PBE) for a relaxed Cs3Hg3Pd2 crystal.

Cell lengths 7.0231, 9.5494, 16.9962 Å; angles 90.00, 90.00, 90.00 degrees
With the nearest neighbours (Å) after each atom.
Positions (direct):
Hg1 0.8796 0.8399 0.0398  3 Pd 2.86-2.88
Pd1 0.3765 0.3739 0.5939  4 Hg 2.83-2.88
Pd2 0.8765 0.1261 0.0939  4 Hg 2.83-2.88
Hg2 0.1204 0.1601 0.5398  3 Pd 2.86-2.88
Hg3 0.4850 0.6468 0.2500  2 Pd 2.83
Cs1 0.6120 0.0434 0.6058  4 Pd 3.57-3.95, 5 Hg 3.66-3.90
Pd3 0.3765 0.3739 0.9061  4 Hg 2.83-2.88
Hg4 0.1204 0.1601 0.9602  3 Pd 2.86-2.88
Cs2 0.4443 0.7153 0.7500  4 Hg 3.48-3.64, 2 Pd 3.80
Pd4 0.6235 0.6261 0.0939  4 Hg 2.83-2.88
Cs3 0.6120 0.0434 0.8942  4 Pd 3.57-3.95, 5 Hg 3.66-3.90
Hg5 0.6204 0.3399 0.4602  3 Pd 2.86-2.88
Cs4 0.3880 0.9566 0.3942  4 Pd 3.57-3.95, 5 Hg 3.66-3.90
Cs5 0.0557 0.2153 0.7500  4 Hg 3.48-3.64, 2 Pd 3.80
Hg6 0.5150 0.3532 0.7500  2 Pd 2.83
Pd5 0.1235 0.8739 0.5939  4 Hg 2.83-2.88
Pd6 0.1235 0.8739 0.9061  4 Hg 2.83-2.88
Hg7 0.3796 0.6601 0.5398  3 Pd 2.86-2.88
Hg8 0.3796 0.6601 0.9602  3 Pd 2.86-2.88
Cs6 0.9443 0.7847 0.2500  4 Hg 3.48-3.64, 2 Pd 3.80
Cs7 0.8880 0.5434 0.8942  4 Pd 3.57-3.95, 5 Hg 3.66-3.90
Pd7 0.8765 0.1261 0.4061  4 Hg 2.83-2.88
Cs8 0.8880 0.5434 0.6058  4 Pd 3.57-3.95, 5 Hg 3.66-3.90
Cs9 0.3880 0.9566 0.1058  4 Pd 3.57-3.95, 5 Hg 3.66-3.90
Hg9 0.9850 0.8532 0.7500  2 Pd 2.83
Hg10 0.8796 0.8399 0.4602  3 Pd 2.86-2.88
Pd8 0.6235 0.6261 0.4061  4 Hg 2.83-2.88
Cs10 0.1120 0.4566 0.1058  4 Pd 3.57-3.95, 5 Hg 3.66-3.90
Hg11 0.0150 0.1468 0.2500  2 Pd 2.83
Cs11 0.5557 0.2847 0.2500  4 Hg 3.48-3.64, 2 Pd 3.80
Hg12 0.6204 0.3399 0.0398  3 Pd 2.86-2.88
Cs12 0.1120 0.4566 0.3942  4 Pd 3.57-3.95, 5 Hg 3.66-3.90

Total magnetic moment in μB/f.u.: 0.000
Space-group type: Pnma

---

ii) Density functional theory data (GGA-PBE) for a relaxed Cs3Hg3Pd2 crystal.

Cell lengths 5.0128, 7.1786, 17.5593 Å; angles 90.00, 90.00, 110.44 degrees
With the nearest neighbours (Å) after each atom.
Positions (direct):
Pd1 0.7760 0.5520 0.6045  4 Hg 2.78-2.90
Cs1 0.0678 0.1355 0.8982  5 Hg 3.59-3.99, 3 Pd 3.76-3.93, 1 Cs 4.01
Hg1 0.6940 0.3880 0.7500  2 Pd 2.78
Cs2 0.0678 0.1355 0.6018  5 Hg 3.59-3.99, 3 Pd 3.76-3.93, 1 Cs 4.01
Hg2 0.3234 0.6467 0.9577  3 Pd 2.81-2.90
Cs3 0.6130 0.2261 0.2500  4 Hg 3.61-3.75, 4 Pd 3.88
Pd2 0.2240 0.4480 0.3955  4 Hg 2.78-2.90
Cs4 0.3870 0.7739 0.7500  4 Hg 3.61-3.75, 4 Pd 3.88
Pd3 0.7760 0.5520 0.8955  4 Hg 2.78-2.90
Pd4 0.2240 0.4480 0.1045  4 Hg 2.78-2.90
Cs5 0.9322 0.8645 0.1018  5 Hg 3.59-3.99, 3 Pd 3.76-3.93, 1 Cs 4.01
Hg3 0.3234 0.6467 0.5423  3 Pd 2.81-2.90
Hg4 0.6766 0.3533 0.4577  3 Pd 2.81-2.90
Cs6 0.9322 0.8645 0.3982  5 Hg 3.59-3.99, 3 Pd 3.76-3.93, 1 Cs 4.01
Hg5 0.3060 0.6120 0.2500  2 Pd 2.78
Hg6 0.6766 0.3533 0.0423  3 Pd 2.81-2.90

Total magnetic moment in μB/f.u.: 0.000
Space-group type: Cmcm

---

Last place for stability: i)

---

i) Density functional theory data (GGA-PBE) for a relaxed Cs2Hg5Pd crystal.

Cell lengths 7.1640, 7.1643, 7.7352 Å; angles 117.59, 117.58, 90.00 degrees
With the nearest neighbours (Å) after each atom.
Positions (direct):
Hg1 0.2724 0.7872 0.0596  1 Pd 2.80, 1 Hg 3.11
Hg2 0.6751 0.6752 0.3502  1 Pd 2.80, 4 Hg 3.11
Cs1 0.7839 0.2839 0.5678  10 Hg 3.80-3.90, 2 Pd 3.89-3.90
Hg3 0.7872 0.2724 0.0597  1 Pd 2.80, 1 Hg 3.11
Hg4 0.2724 0.2724 0.0597  1 Pd 2.80, 1 Hg 3.11
Cs2 0.2839 0.7839 0.5678  10 Hg 3.80-3.90, 2 Pd 3.90
Hg5 0.7872 0.7872 0.0596  1 Pd 2.80, 1 Hg 3.11
Pd1 0.9148 0.9148 0.8296  5 Hg 2.80

Total magnetic moment in μB/f.u.: 0.000
Space-group type: I4mm

---

ii) Density functional theory data (GGA-PBE) for a relaxed Cs2Hg5Pd crystal.

Cell lengths 7.6990, 9.5369, 16.0882 Å; angles 90.00, 90.00, 90.00 degrees
With the nearest neighbours (Å) after each atom.
Positions (direct):
Pd1 0.7500 0.3181 0.5535  6 Hg 2.73-2.82
Hg1 0.5228 0.1341 0.6365  1 Pd 2.81
Cs1 0.2500 0.4703 0.6922  9 Hg 3.65-3.94
Hg2 0.5000 0.0000 0.0000  2 Pd 2.73
Hg3 0.4772 0.3659 0.1365  1 Pd 2.81
Hg4 0.0000 0.5000 0.5000  2 Pd 2.73
Hg5 0.4772 0.8659 0.3635  1 Pd 2.81
Hg6 0.7500 0.1236 0.4230  1 Pd 2.80
Cs2 0.2500 0.9703 0.8078  9 Hg 3.65-3.94
Pd2 0.7500 0.8181 0.9465  6 Hg 2.73-2.82
Cs3 0.7500 0.0297 0.1922  9 Hg 3.65-3.94
Cs4 0.2500 0.1945 0.4288  11 Hg 3.67-3.99
Hg7 0.0228 0.3659 0.1365  1 Pd 2.81
Hg8 0.2500 0.5404 0.2927  1 Pd 2.82
Pd3 0.2500 0.6819 0.4465  6 Hg 2.73-2.82
Hg9 0.9772 0.1341 0.6365  1 Pd 2.81
Cs5 0.7500 0.3055 0.9288  11 Hg 3.67-3.99
Hg10 0.7500 0.4596 0.7073  1 Pd 2.82
Cs6 0.2500 0.6945 0.0712  11 Hg 3.67-3.99
Hg11 0.0000 0.0000 0.0000  2 Pd 2.73
Pd4 0.2500 0.1819 0.0535  6 Hg 2.73-2.82
Cs7 0.7500 0.5297 0.3078  9 Hg 3.65-3.94
Hg12 0.0228 0.8659 0.3635  1 Pd 2.81
Hg13 0.7500 0.6236 0.0770  1 Pd 2.80
Hg14 0.2500 0.3764 0.9230  1 Pd 2.80
Hg15 0.2500 0.8764 0.5770  1 Pd 2.80
Hg16 0.7500 0.9596 0.7927  1 Pd 2.82
Hg17 0.5000 0.5000 0.5000  2 Pd 2.73
Hg18 0.5228 0.6341 0.8635  1 Pd 2.81
Hg19 0.2500 0.0404 0.2073  1 Pd 2.82
Cs8 0.7500 0.8055 0.5712  11 Hg 3.67-3.99
Hg20 0.9772 0.6341 0.8635  1 Pd 2.81

Total magnetic moment in μB/f.u.: 0.000
Space-group type: Pnma

---

Last place for stability: i)

---

i) Density functional theory data (GGA-PBE) for a relaxed CsRb2HgPd crystal.

Cell lengths 6.9468, 6.9468, 5.3549 Å; angles 90.00, 90.00, 90.00 degrees
With the nearest neighbours (Å) after each atom.
Positions (direct):
Pd1 0.0000 0.0000 0.5000  2 Hg 2.68
Rb1 0.0000 0.5000 0.0000  2 Hg 3.47
Rb2 0.5000 0.0000 0.0000  2 Hg 3.47
Cs1 0.5000 0.5000 0.5000  8 Rb 4.39
Hg1 0.0000 0.0000 0.0000  2 Pd 2.68

Total magnetic moment in μB/f.u.: 0.000
Space-group type: P4/mmm

---

ii) Density functional theory data (GGA-PBE) for a relaxed CsRb2HgPd crystal.

Cell lengths 6.5448, 6.5448, 6.7219 Å; angles 90.00, 90.00, 90.00 degrees
With the nearest neighbours (Å) after each atom.
Positions (direct):
Pd1 0.0000 0.0000 0.0000  4 Rb 3.27, 2 Cs 3.36
Cs1 0.0000 0.0000 0.5000  2 Pd 3.36
Rb1 0.0000 0.5000 0.0000  2 Pd 3.27
Hg1 0.5000 0.5000 0.5000  4 Cs 4.63, 8 Rb 4.69
Rb2 0.5000 0.0000 0.0000  2 Pd 3.27

Total magnetic moment in μB/f.u.: 0.062
Space-group type: P4/mmm

---

Last place for stability: i)

---

i) Density functional theory data (GGA-PBE) for a relaxed Cs2RbHgPd crystal.

Cell lengths 6.6921, 6.6921, 6.5469 Å; angles 90.00, 90.00, 90.00 degrees
With the nearest neighbours (Å) after each atom.
Positions (direct):
Cs1 0.0000 0.5000 0.0000  2 Pd 3.35
Pd1 0.0000 0.0000 0.0000  2 Rb 3.27, 4 Cs 3.35
Cs2 0.5000 0.0000 0.0000  2 Pd 3.35
Hg1 0.5000 0.5000 0.5000  8 Cs 4.68, 4 Rb 4.73
Rb1 0.0000 0.0000 0.5000  2 Pd 3.27

Total magnetic moment in μB/f.u.: 0.421
Space-group type: P4/mmm

---

ii) Density functional theory data (GGA-PBE) for a relaxed Cs2RbHgPd crystal.

Cell lengths 6.9701, 6.9701, 5.4633 Å; angles 90.00, 90.00, 90.00 degrees
With the nearest neighbours (Å) after each atom.
Positions (direct):
Rb1 0.5000 0.5000 0.5000  8 Cs 4.43, 4 Hg 4.93
Cs1 0.5000 0.0000 0.0000  2 Pd 3.49
Hg1 0.0000 0.0000 0.5000  2 Pd 2.73
Pd1 0.0000 0.0000 0.0000  2 Hg 2.73
Cs2 0.0000 0.5000 0.0000  2 Pd 3.49

Total magnetic moment in μB/f.u.: 0.000
Space-group type: P4/mmm

---

Last place for stability: i)

---

i) Density functional theory data (GGA-PBE) for a relaxed CsHg2SbPd crystal.

Cell lengths 5.9407, 5.9407, 5.1632 Å; angles 90.00, 90.00, 90.00 degrees
With the nearest neighbours (Å) after each atom.
Positions (direct):
Pd1 0.0000 0.0000 0.5000  2 Sb 2.58
Sb1 0.0000 0.0000 0.0000  2 Pd 2.58
Hg1 0.0000 0.5000 0.0000  2 Sb 2.97
Cs1 0.5000 0.5000 0.5000  8 Hg 3.94, 4 Pd 4.20
Hg2 0.5000 0.0000 0.0000  2 Sb 2.97

Total magnetic moment in μB/f.u.: 0.000
Space-group type: P4/mmm

---

ii) Density functional theory data (GGA-PBE) for a relaxed CsHg2SbPd crystal.

Cell lengths 5.4855, 5.4855, 5.3269 Å; angles 90.00, 90.00, 90.00 degrees
With the nearest neighbours (Å) after each atom.
Positions (direct):
Cs1 0.5000 0.5000 0.5000  8 Hg 3.82, 4 Sb 3.88
Sb1 0.0000 0.0000 0.5000  2 Pd 2.66
Hg1 0.0000 0.5000 0.0000  2 Pd 2.74
Pd1 0.0000 0.0000 0.0000  2 Sb 2.66, 4 Hg 2.74
Hg2 0.5000 0.0000 0.0000  2 Pd 2.74

Total magnetic moment in μB/f.u.: 0.001
Space-group type: P4/mmm

---

Last place for stability: i)

---

i) Density functional theory data (GGA-PBE) for a relaxed Cs2SnHgPd crystal.

Cell lengths 6.8554, 6.8554, 5.1275 Å; angles 90.00, 90.00, 90.00 degrees
With the nearest neighbours (Å) after each atom.
Positions (direct):
Pd1 0.0000 0.0000 0.0000  2 Sn 2.56
Cs1 0.0000 0.5000 0.0000  2 Pd 3.43
Sn1 0.0000 0.0000 0.5000  2 Pd 2.56
Cs2 0.5000 0.0000 0.0000  2 Pd 3.43
Hg1 0.5000 0.5000 0.5000  8 Cs 4.28

Total magnetic moment in μB/f.u.: 0.000
Space-group type: P4/mmm

---

ii) Density functional theory data (GGA-PBE) for a relaxed Cs2SnHgPd crystal.

Cell lengths 7.0329, 5.3953, 7.0329 Å; angles 90.00, 90.00, 90.00 degrees
With the nearest neighbours (Å) after each atom.
Positions (direct):
Sn1 0.0000 0.5000 0.0000  2 Hg 2.70
Cs1 0.5000 0.0000 0.0000  2 Hg 3.52
Cs2 0.0000 0.0000 0.5000  2 Hg 3.52
Pd1 0.5000 0.5000 0.5000  8 Cs 4.43
Hg1 0.0000 0.0000 0.0000  2 Sn 2.70

Total magnetic moment in μB/f.u.: 0.000
Space-group type: P4/mmm

---

Last place for stability: ii)

---

i) Density functional theory data (GGA-PBE) for a relaxed CsHgTe2Pd crystal.

Cell lengths 5.5038, 5.5038, 5.4778 Å; angles 90.00, 90.00, 90.00 degrees
With the nearest neighbours (Å) after each atom.
Positions (direct):
Te1 0.5000 0.0000 0.0000  2 Pd 2.75
Hg1 0.0000 0.0000 0.5000  2 Pd 2.74
Pd1 0.0000 0.0000 0.0000  2 Hg 2.74, 4 Te 2.75
Cs1 0.5000 0.5000 0.5000  8 Te 3.88, 4 Hg 3.89
Te2 0.0000 0.5000 0.0000  2 Pd 2.75

Total magnetic moment in μB/f.u.: 0.000
Space-group type: P4/mmm

---

ii) Density functional theory data (GGA-PBE) for a relaxed CsHgTe2Pd crystal.

Cell lengths 7.9614, 6.7752, 7.6163 Å; angles 116.41, 90.00, 90.00 degrees
With the nearest neighbours (Å) after each atom.
Positions (direct):
Cs1 0.2706 0.7500 0.5000  6 Te 3.97-4.00, 2 Hg 4.03, 4 Pd 4.22
Hg1 0.0000 0.5000 0.0000  2 Te 2.73
Hg2 0.0000 0.0000 0.0000  2 Te 2.73
Te1 0.2977 0.4003 0.8007  2 Pd 2.70, 1 Hg 2.73
Te2 0.7023 0.9003 0.8007  2 Pd 2.70, 1 Hg 2.73
Te3 0.7023 0.5997 0.1993  2 Pd 2.70, 1 Hg 2.73
Cs2 0.7294 0.2500 0.5000  6 Te 3.97-4.00, 2 Hg 4.03, 4 Pd 4.22
Pd1 0.5000 0.2500 0.0000  4 Te 2.70
Te4 0.2977 0.0997 0.1993  2 Pd 2.70, 1 Hg 2.73
Pd2 0.5000 0.7500 0.0000  4 Te 2.70

Total magnetic moment in μB/f.u.: 0.000
Space-group type: Cmme

---

Last place for stability: i)

---

i) Density functional theory data (GGA-PBE) for a relaxed CsTl2HgPd crystal.

Cell lengths 5.3803, 5.3803, 6.7075 Å; angles 90.00, 90.00, 90.00 degrees
With the nearest neighbours (Å) after each atom.
Positions (direct):
Pd1 0.0000 0.0000 0.0000  4 Tl 2.69
Cs1 0.0000 0.0000 0.5000  2 Pd 3.35
Tl1 0.0000 0.5000 0.0000  2 Pd 2.69
Hg1 0.5000 0.5000 0.5000  4 Cs 3.80
Tl2 0.5000 0.0000 0.0000  2 Pd 2.69

Total magnetic moment in μB/f.u.: 0.000
Space-group type: P4/mmm

---

ii) Density functional theory data (GGA-PBE) for a relaxed CsTl2HgPd crystal.

Cell lengths 5.4714, 5.4714, 5.5673 Å; angles 90.00, 90.00, 90.00 degrees
With the nearest neighbours (Å) after each atom.
Positions (direct):
Hg1 0.0000 0.0000 0.5000  2 Pd 2.78
Tl1 0.5000 0.0000 0.0000  2 Pd 2.74
Pd1 0.0000 0.0000 0.0000  4 Tl 2.74, 2 Hg 2.78
Tl2 0.0000 0.5000 0.0000  2 Pd 2.74
Cs1 0.5000 0.5000 0.5000  4 Hg 3.87, 8 Tl 3.90

Total magnetic moment in μB/f.u.: 0.000
Space-group type: P4/mmm

---

Last place for stability: i)